Ho6Bi2Sb | GGA-PBE | relaxed

Properties
The total magnetization is 0.0 μB per formula unit. The density of states at the Fermi level is 9.7 states/eV/f.u. Its uncorrected formation energy is -0.53 eV per atom.

a b c (Å): 6.4060 8.3044 11.9629
angles (deg): 90.00 120.65 90.00
Last column: nearest neighbours and their distance in Å.
Element x y z (fractional)
Ho (0.0676, 0.1973, 0.4478)  1 Sb 3.00, 3 Bi 3.18-3.34
Ho (0.0676, 0.3027, 0.9478)  1 Sb 3.00, 3 Bi 3.18-3.34
Ho (0.3156, 0.6609, 0.4480)  1 Sb 2.99, 2 Bi 3.14-3.26
Ho (0.3156, 0.8391, 0.9480)  1 Sb 2.99, 2 Bi 3.14-3.26
Ho (0.3514, 0.0325, 0.2202)  1 Sb 2.99, 2 Bi 3.21-3.23
Ho (0.3514, 0.4675, 0.7202)  1 Sb 2.99, 2 Bi 3.21-3.23
Ho (0.6486, 0.5325, 0.2798)  1 Sb 2.99, 2 Bi 3.21-3.23
Ho (0.6486, 0.9675, 0.7798)  1 Sb 2.99, 2 Bi 3.21-3.23
Ho (0.6844, 0.1609, 0.0520)  1 Sb 2.99, 2 Bi 3.14-3.26
Ho (0.6844, 0.3391, 0.5520)  1 Sb 2.99, 2 Bi 3.14-3.26
Ho (0.9324, 0.6973, 0.0522)  1 Sb 3.00, 3 Bi 3.18-3.34
Ho (0.9324, 0.8027, 0.5522)  1 Sb 3.00, 3 Bi 3.18-3.34
Bi (0.1544, 0.1174, 0.7426)  7 Ho 3.14-3.34
Bi (0.1544, 0.3826, 0.2426)  7 Ho 3.14-3.34
Bi (0.8456, 0.6174, 0.7574)  7 Ho 3.14-3.34
Bi (0.8456, 0.8826, 0.2574)  7 Ho 3.14-3.34
Sb (0.5000, 0.0000, 0.5000)  6 Ho 2.99-3.00
Sb (0.5000, 0.5000, 0.0000)  6 Ho 2.99-3.00


GeAsH2Se | GGA-PBE | relaxed

Properties
As for the energy above the most stable polymorph in this dataset: 0.055 eV per atom. The total magnetization is 0.0 μB per formula unit. The density of states at the Fermi level is 0.7 states/eV/f.u.

a b c (Å): 3.9332 3.9332 6.6995
angles (deg): 103.79 103.79 67.16
Last column: nearest neighbours and their distance in Å.
Element x y z (fractional)
Ge (0.0000, 0.0000, 0.0000)  3 Se 2.48-2.75, 2 As 2.70
As (0.6342, 0.6342, 0.2392)  2 H 1.54-1.55
H (0.4362, 0.4362, 0.3194)  1 As 1.54
H (0.7924, 0.7924, 0.4613)  1 As 1.55
Se (0.2700, 0.2700, 0.8049)  3 Ge 2.48-2.75


ZrSBr2 | GGA-PBE | relaxed

Properties
As for the energy above the most stable polymorph in this dataset: 1.020 eV per atom. The total magnetization is 0.0 μB per formula unit. The density of states at the Fermi level is 1.1 states/eV/f.u. Its uncorrected formation energy is -0.26 eV per atom.

a b c (Å): 4.8786 4.8786 4.8786
angles (deg): 60.00 60.00 60.00
Last column: nearest neighbours and their distance in Å.
Element x y z (fractional)
Zr (0.0000, 0.0000, 0.0000)  8 Br 2.99
S (0.5000, 0.5000, 0.5000)  8 Br 2.99
Br (0.2500, 0.2500, 0.2500)  4 S 2.99, 4 Zr 2.99
Br (0.7500, 0.7500, 0.7500)  4 S 2.99, 4 Zr 2.99


CeNd2Th3As6 | GGA-PBE | relaxed

Properties
As for the energy of formation from the pure elements: -17.51 eV per formula unit. The total magnetization is 0.7 μB per formula unit. The density of states at the Fermi level is 10.2 states/eV/f.u.

a b c (Å): 9.5154 9.5154 8.5043
angles (deg): 102.85 102.85 25.86
Last column: nearest neighbours and their distance in Å.
Element x y z (fractional)
Ce (0.0000, 0.0000, 0.0000)  6 As 3.00
Nd (0.3328, 0.3328, 0.6655)  6 As 3.01-3.03
Nd (0.6672, 0.6672, 0.3345)  6 As 3.01-3.03
Th (0.0000, 0.0000, 0.5000)  6 As 3.00-3.02
Th (0.3329, 0.3329, 0.1672)  6 As 2.99-3.01
Th (0.6671, 0.6671, 0.8328)  6 As 2.99-3.01
As (0.1662, 0.1662, 0.0807)  3 Th 3.00-3.01, 1 Ce 3.00, 2 Nd 3.03
As (0.1659, 0.1659, 0.5851)  3 Th 2.99-3.00, 3 Nd 3.01-3.02
As (0.4993, 0.4993, 0.2484)  2 Ce 3.00, 3 Th 3.01-3.02, 1 Nd 3.03
As (0.5007, 0.5007, 0.7516)  2 Ce 3.00, 3 Th 3.01-3.02, 1 Nd 3.03
As (0.8341, 0.8341, 0.4149)  3 Th 2.99-3.00, 3 Nd 3.01-3.02
As (0.8338, 0.8338, 0.9193)  3 Th 3.00-3.01, 1 Ce 3.00, 2 Nd 3.03